First-principles (PBE) data for a relaxed structure of BePdS, as listed in the Alexandria database.

Cell lengths 3.3957, 5.9902, 4.5580 Å; angles 76.56, 89.95, 89.98 degrees
Closest atoms and distances in Å follow each position.
Fractional positions:
1 Be 0.0934 0.1130 0.2618  3 S 2.10-2.14
2 Be 0.5929 0.2831 0.7114  3 S 2.10-2.13
3 S 0.5931 0.9895 0.5218  3 Be 2.10-2.13, 1 Pd 2.36
4 S 0.0926 0.4078 0.8917  3 Be 2.10-2.14, 1 Pd 2.34
5 Pd 0.5931 0.8862 0.0535  2 S 2.36, 3 Be 2.49-2.52
6 Pd 0.0929 0.5090 0.3575  2 S 2.34-2.37, 3 Be 2.51

Values from the calculation:
Its density of states at the Fermi level is 0.00 states/eV/cell. Its total moment is 0.000 μB/f.u. As for the symmetry: Pm (6). Its uncorrected formation energy is -1.26 eV/f.u.



First-principles (PBE) data for a relaxed structure of Ba3SmCd2O6, as listed in the Alexandria database.

Cell lengths 6.4016, 6.4016, 7.0509 Å; angles 90.00, 90.00, 120.00 degrees
Closest atoms and distances in Å follow each position.
Fractional positions:
1 Ba 0.3333 0.6667 0.6101  3 O 2.84
2 Ba 0.6667 0.3333 0.3899  3 O 2.84
3 Ba 0.0000 0.0000 0.0000  6 O 2.83
4 Sm 0.0000 0.0000 0.5000  6 O 2.30
5 Cd 0.6667 0.3333 0.8566  3 O 2.18
6 Cd 0.3333 0.6667 0.1434  3 O 2.18
7 O 0.6680 0.8340 0.3046  1 Cd 2.18, 1 Sm 2.30
8 O 0.1660 0.3320 0.3046  1 Cd 2.18, 1 Sm 2.30
9 O 0.1660 0.8340 0.3046  1 Cd 2.18, 1 Sm 2.30
10 O 0.8340 0.6680 0.6954  1 Cd 2.18, 1 Sm 2.30
11 O 0.3320 0.1660 0.6954  1 Cd 2.18, 1 Sm 2.30
12 O 0.8340 0.1660 0.6954  1 Cd 2.18, 1 Sm 2.30

Values from the calculation:
Its density of states at the Fermi level is 3.86 states/eV/cell. Its total moment is 0.385 μB/f.u. As for the symmetry: P-3m1 (164). Its uncorrected formation energy is -24.33 eV/f.u.



First-principles (PBE) data for a relaxed structure of Ta3Hg5, as listed in the Alexandria database.

Cell lengths 8.5129, 8.5129, 5.3746 Å; angles 90.00, 90.00, 60.00 degrees
Closest atoms and distances in Å follow each position.
Fractional positions:
1 Hg 0.7778 0.2222 0.2500  5 Ta 3.07-3.16, 6 Hg 3.28-3.29
2 Hg 0.2222 0.7778 0.7500  5 Ta 3.07-3.16, 6 Hg 3.28-3.29
3 Hg 0.2222 0.0000 0.2500  5 Ta 3.07-3.16, 6 Hg 3.28-3.29
4 Hg 0.0000 0.2222 0.7500  5 Ta 3.07-3.16, 6 Hg 3.28-3.29
5 Hg 0.6667 0.6667 0.0000  2 Hg 2.69, 6 Ta 2.89
6 Hg 0.6667 0.6667 0.5000  2 Hg 2.69, 6 Ta 2.89
7 Hg 0.3333 0.3333 0.0000  2 Hg 2.69, 6 Ta 2.89
8 Hg 0.3333 0.3333 0.5000  2 Hg 2.69, 6 Ta 2.89
9 Hg 0.7778 0.0000 0.7500  5 Ta 3.07-3.16, 6 Hg 3.28-3.29
10 Hg 0.0000 0.7778 0.2500  5 Ta 3.07-3.16, 6 Hg 3.28-3.29
11 Ta 0.5827 0.4173 0.7500  9 Hg 2.89-3.16, 2 Ta 3.03
12 Ta 0.4173 0.5827 0.2500  9 Hg 2.89-3.16, 2 Ta 3.03
13 Ta 0.4173 0.0000 0.7500  9 Hg 2.89-3.16, 2 Ta 3.03
14 Ta 0.0000 0.4173 0.2500  9 Hg 2.89-3.16, 2 Ta 3.03
15 Ta 0.5827 0.0000 0.2500  9 Hg 2.89-3.16, 2 Ta 3.03
16 Ta 0.0000 0.5827 0.7500  9 Hg 2.89-3.16, 2 Ta 3.03

Values from the calculation:
Its density of states at the Fermi level is 11.35 states/eV/cell. Its total moment is 0.000 μB/f.u. As for the symmetry: P6_3/mcm (193). The energy relative to the lowest polymorph listed for this composition is 228 meV per atom. For the formation energy, the calculation gives 0.662 eV/atom.



First-principles (PBE) data for a relaxed structure of RbLiSn4, as listed in the Alexandria database.

Cell lengths 5.6700, 8.2536, 9.9983 Å; angles 114.35, 106.55, 90.01 degrees
Closest atoms and distances in Å follow each position.
Fractional positions:
1 Rb 0.7999 0.7997 0.5993  12 Sn 3.88-4.28
2 Rb 0.2001 0.2003 0.4007  12 Sn 3.88-4.28
3 Li 0.2535 0.4999 0.9999  8 Sn 2.74-2.78, 2 Li 2.79-2.88
4 Li 0.7465 0.5001 0.0001  8 Sn 2.74-2.78, 2 Li 2.79-2.88
5 Sn 0.1357 0.6343 0.2700  2 Li 2.74
6 Sn 0.4062 0.1971 0.8132  2 Li 2.75
7 Sn 0.9997 0.2119 0.9997  2 Li 2.78
8 Sn 0.5938 0.3831 0.1865  2 Li 2.75
9 Sn 0.8643 0.3657 0.7300  2 Li 2.74
10 Sn 0.5938 0.8029 0.1868  2 Li 2.75
11 Sn 0.0003 0.7881 0.0003  2 Li 2.78
12 Sn 0.4062 0.6169 0.8135  2 Li 2.75

Values from the calculation:
Its density of states at the Fermi level is 1.88 states/eV/cell. Its total moment is 0.000 μB/f.u. As for the symmetry: P-1 (2). The energy relative to the lowest polymorph listed for this composition is 0 meV per atom. For the formation energy, the calculation gives -0.134 eV/atom.



First-principles (PBE) data for a relaxed structure of PuPb2F8, as listed in the Alexandria database.

Cell lengths 3.9288, 6.6034, 7.2208 Å; angles 117.21, 105.79, 90.00 degrees
Closest atoms and distances in Å follow each position.
Fractional positions:
1 Pb 0.1637 0.6637 0.3274  6 F 2.36-2.59
2 Pb 0.8363 0.3363 0.6726  6 F 2.36-2.59
3 F 0.6413 0.8946 0.2826  1 Pu 2.37, 4 F 2.59-2.65, 2 Pb 2.59
4 F 0.3587 0.6120 0.7174  1 Pu 2.37, 4 F 2.59-2.65, 2 Pb 2.59
5 F 0.1074 0.1074 0.2147  2 Pu 2.36, 7 F 2.44-2.63
6 F 0.0000 0.3118 0.0000  2 Pb 2.36, 3 F 2.44-2.49
7 F 0.8926 0.8926 0.7853  2 Pu 2.36, 7 F 2.44-2.63
8 F 0.6413 0.3880 0.2826  1 Pu 2.37, 4 F 2.59-2.65, 2 Pb 2.59
9 F 0.3587 0.1054 0.7174  1 Pu 2.37, 4 F 2.59-2.65, 2 Pb 2.59
10 F 0.0000 0.6882 0.0000  2 Pb 2.36, 3 F 2.44-2.49
11 Pu 0.5000 0.0000 0.0000  8 F 2.36-2.37

Values from the calculation:
Its density of states at the Fermi level is 3.58 states/eV/cell. Its total moment is 4.000 μB/f.u. As for the symmetry: Immm (71). The energy relative to the lowest polymorph listed for this composition is 97 meV per atom. Its uncorrected formation energy is -30.44 eV/f.u.



First-principles (PBE) data for a relaxed structure of Pm4Be, as listed in the Alexandria database.

Cell lengths 5.4569, 5.4569, 5.4569 Å; angles 90.00, 90.00, 90.00 degrees
Closest atoms and distances in Å follow each position.
Fractional positions:
1 Be 0.5000 0.5000 0.5000  6 Pm 2.73
2 Pm 0.0000 0.0000 0.0000  12 Pm 3.86
3 Pm 0.5000 0.0000 0.5000  2 Be 2.73
4 Pm 0.0000 0.5000 0.5000  2 Be 2.73
5 Pm 0.5000 0.5000 0.0000  2 Be 2.73

Values from the calculation:
Its density of states at the Fermi level is 5.89 states/eV/cell. Its total moment is 0.000 μB/f.u. As for the symmetry: Pm-3m (221). For the formation energy, the calculation gives 0.286 eV/atom.



First-principles (PBE) data for a relaxed structure of Ce4Zn3Ga16, as listed in the Alexandria database.

Cell lengths 6.3229, 6.3229, 11.3046 Å; angles 90.00, 90.00, 90.00 degrees
Closest atoms and distances in Å follow each position.
Fractional positions:
1 Ce 0.5000 0.0000 0.8102  12 Ga 3.08-3.21
2 Ce 0.0000 0.5000 0.1898  12 Ga 3.08-3.21
3 Ce 0.0000 0.5000 0.8102  12 Ga 3.08-3.21
4 Ce 0.5000 0.0000 0.1898  12 Ga 3.08-3.21
5 Zn 0.0000 0.5000 0.5000  8 Ga 2.64
6 Zn 0.0000 0.0000 0.0000  6 Ga 2.59-2.71
7 Zn 0.5000 0.0000 0.5000  8 Ga 2.64
8 Ga 0.0000 0.0000 0.7599  1 Zn 2.71, 4 Ga 2.79
9 Ga 0.2900 0.2900 0.0000  1 Zn 2.59, 2 Ga 2.66
10 Ga 0.5000 0.5000 0.8037  8 Ga 2.91-2.96, 4 Ce 3.16
11 Ga 0.7100 0.2900 0.0000  1 Zn 2.59, 2 Ga 2.66
12 Ga 0.5000 0.5000 0.1963  8 Ga 2.91-2.96, 4 Ce 3.16
13 Ga 0.7100 0.7100 0.0000  1 Zn 2.59, 2 Ga 2.66
14 Ga 0.0000 0.0000 0.2401  1 Zn 2.71, 4 Ga 2.79
15 Ga 0.7398 0.7398 0.6232  2 Zn 2.64, 2 Ga 2.79
16 Ga 0.7398 0.2602 0.3768  2 Zn 2.64, 2 Ga 2.79
17 Ga 0.2602 0.2602 0.6232  2 Zn 2.64, 2 Ga 2.79
18 Ga 0.2602 0.7398 0.3768  2 Zn 2.64, 2 Ga 2.79
19 Ga 0.2900 0.7100 0.0000  1 Zn 2.59, 2 Ga 2.66
20 Ga 0.7398 0.7398 0.3768  2 Zn 2.64, 2 Ga 2.79
21 Ga 0.7398 0.2602 0.6232  2 Zn 2.64, 2 Ga 2.79
22 Ga 0.2602 0.2602 0.3768  2 Zn 2.64, 2 Ga 2.79
23 Ga 0.2602 0.7398 0.6232  2 Zn 2.64, 2 Ga 2.79

Values from the calculation:
Its density of states at the Fermi level is 21.27 states/eV/cell. Its total moment is 1.708 μB/f.u. As for the symmetry: P4/mmm (123). For the formation energy, the calculation gives -0.359 eV/atom.



First-principles (PBE) data for a relaxed structure of BeCoCu2, as listed in the Alexandria database.

Cell lengths 4.3192, 4.3192, 4.3192 Å; angles 132.56, 132.56, 69.35 degrees
Closest atoms and distances in Å follow each position.
Fractional positions:
1 Be 0.2500 0.7500 0.5000  4 Co 2.46, 8 Cu 2.48
2 Co 0.7500 0.2500 0.5000  4 Be 2.46, 8 Cu 2.48
3 Cu 0.0000 0.0000 0.0000  4 Cu 2.46, 4 Be 2.48, 4 Co 2.48
4 Cu 0.5000 0.5000 0.0000  4 Cu 2.46, 4 Co 2.48, 4 Be 2.48

Values from the calculation:
Its density of states at the Fermi level is 3.53 states/eV/cell. Its total moment is 1.116 μB/f.u. As for the symmetry: I4/mmm (139). For the formation energy, the calculation gives 0.082 eV/atom.